(1)
The following is a DFT calculation (PBE) of a relaxed Pa2GaCo crystal.

Cell: 3.096 3.096 8.131 Å, 90.00 90.00 90.00°
Element x y z (fractional)
Pa  0.000  0.000  0.778
Pa  0.000  0.000  0.222
Co  0.500  0.500  0.000
Ga  0.500  0.500  0.500

## Properties
offset from the most stable computed form = 0 meV per atom
space group = No. 123
formation energy = -0.270 eV/atom

***

(2)
The following is a DFT calculation (PBE) of a relaxed TaFeP2 crystal.

Cell: 5.279 5.279 6.446 Å, 65.83 65.83 90.00°
Element x y z (fractional)
P  0.581  0.125  0.250
P  0.169  0.625  0.250
P  0.375  0.419  0.750
P  0.875  0.831  0.750
Fe  0.500  0.500  0.000
Fe  0.250  0.750  0.500
Ta  0.000  0.000  0.000
Ta  0.750  0.250  0.500

## Properties
offset from the most stable computed form = 524 meV per atom
space group = No. 122
formation energy = 0.002 eV/atom

***

(3)
The following is a DFT calculation (PBE) of a relaxed SnTeO2F crystal.

Cell: 4.238 4.238 4.770 Å, 90.00 90.00 90.00°
Element x y z (fractional)
Te  0.000  0.000  0.000
Sn  0.500  0.500  0.500
O  0.000  0.500  0.000
O  0.500  0.000  0.000
F  0.000  0.000  0.500

## Properties
space group = No. 123
E_form (uncorrected) = -765.8 meV/atom

***

(4)
The following is a DFT calculation (PBE) of a relaxed Ba2Li3DyAu6 crystal.

Cell: 4.807 4.807 13.130 Å, 90.00 90.00 90.00°
Element x y z (fractional)
Ba  0.500  0.500  0.171
Ba  0.500  0.500  0.829
Li  0.000  0.000  0.406
Li  0.000  0.000  0.594
Li  0.000  0.000  0.000
Dy  0.500  0.500  0.500
Au  0.000  0.500  0.643
Au  0.500  0.000  0.357
Au  0.500  0.000  0.643
Au  0.000  0.000  0.199
Au  0.000  0.500  0.357
Au  0.000  0.000  0.801

## Properties
space group = No. 123
formation energy = -0.546 eV/atom

***

| no. | DOS(E_F) (states/eV/f.u.) |
| --- | --- |
| 1 | 4.93 |
| 2 | 3.16 |
| 3 | 2.99 |
| 4 | 5.04 |